A plane-wave DFT calculation with GGA+U was carried out for crystalline DyPaFe2O8 at its relaxed geometry.

Values from the calculation:
calculated total energy	-92.2	eV per cell
space group	I-4m2, No. 119

abc: 5.9927 5.9927 5.9927
angles: 107.67 107.67 113.13
Sites, in units of the cell vectors:
Dy (0.0000, 0.0000, 0.0000)
Pa (0.7500, 0.2500, 0.5000)
Fe (0.2500, 0.7500, 0.5000)
Fe (0.5000, 0.5000, 0.0000)
O (0.0634, 0.3860, 0.3226)
O (0.0634, 0.7407, 0.6774)
O (0.1095, 0.3032, 0.8063)
O (0.2593, 0.9366, 0.3226)
O (0.4969, 0.3032, 0.1937)
O (0.6140, 0.9366, 0.6774)
O (0.6968, 0.5031, 0.8063)
O (0.6968, 0.8905, 0.1937)